Entry 1:
An optimized crystal structure of Na3PaF8. Source: the Alexandria database, functional PBE.

The energy relative to the elements, uncorrected is -3.37 eV/atom. The value obtained for the energy is -137.7 eV per cell. The value obtained for the magnetization is 0.00 μB per formula unit. The density of states at the Fermi level is 0.00 states/eV/atom. As for the mass density: 4.481 g cm⁻³.

The space group is I4/mmm (No. 139) and the conventional cell measures 5.5177, 5.5177 and 11.0026 Å, with angles of 90.00, 90.00 and 90.00 degrees. The inequivalent atoms are Na at (0.0000, 0.0000, 0.0000), Na at (0.0000, 0.5000, 0.2500), Pa at (0.0000, 0.0000, 0.5000) and F at (0.2326, 0.2326, 0.3832).


Entry 2:
An optimized crystal structure of Li2DyAs2Pt2. Source: the Alexandria database, functional PBE.

The value obtained for the energy of formation from the pure elements is -0.904 eV per atom. The value obtained for the energy is -108.4 eV per cell. The value obtained for the magnetization is 0.00 μB per formula unit. The density of states at the Fermi level is 0.29 states/eV/atom. As for the mass density: 9.776 g cm⁻³.

The space group is R-3m (No. 166, hexagonal axes) and the conventional cell measures 4.2623, 4.2623 and 23.2033 Å, with angles of 90.00, 90.00 and 120.00 degrees. The inequivalent atoms are Li at (0.0000, 0.0000, 0.1417), Dy at (0.0000, 0.0000, 0.0000), As at (0.0000, 0.0000, 0.2550) and Pt at (0.0000, 0.0000, 0.4238).